1.
Mg2VOs: relaxed, PBE-GGA.

Output
Energy above the lowest structure with this stoichiometry, meV/atom: 0
E_tot, eV per atom: -5.409
Formation energy from the elements, eV/atom: 0.476
Density of states at the Fermi level, states/eV per cell: 6.0

```
Mg2VOs
1.0
0.000 3.198 3.198
3.198 0.000 3.198
3.198 3.198 0.000
Mg V Os
2 1 1
direct
0.250 0.250 0.250 Mg
0.750 0.750 0.750 Mg
0.000 0.000 0.000 V
0.500 0.500 0.500 Os
```

2.
Y2InHIr: relaxed, PBE-GGA.

Output
E_tot, eV per atom: -6.128
Density of states at the Fermi level, states/eV per cell: 2.5

```
Y2InHIr
1.0
5.077 0.000 0.000
0.000 5.077 0.000
0.000 0.000 3.707
Y In H Ir
2 1 1 1
direct
0.000 0.500 0.000 Y
0.500 0.000 0.000 Y
0.000 0.000 0.500 In
0.500 0.500 0.000 H
0.500 0.500 0.500 Ir
```

3.
LiMnGe3: relaxed, PBE-GGA.

Output
Energy above the lowest structure with this stoichiometry, meV/atom: 0
E_tot, eV per atom: -4.824
Formation energy from the elements, eV/atom: 0.163
Density of states at the Fermi level, states/eV per cell: 12.3

```
LiMnGe3
1.0
4.644 0.000 0.000
0.000 4.644 0.000
0.000 0.000 4.644
Li Mn Ge
1 1 3
direct
0.000 0.000 0.000 Li
0.500 0.500 0.500 Mn
0.000 0.500 0.500 Ge
0.500 0.000 0.500 Ge
0.500 0.500 0.000 Ge
```

4.
Y4In3Au: relaxed, PBE-GGA.

Output
E_tot, eV per atom: -5.260
Formation energy from the elements, eV/atom: -0.592
Density of states at the Fermi level, states/eV per cell: 4.2

```
Y4In3Au
1.0
3.575 0.000 0.000
0.000 3.575 0.000
0.000 0.000 16.233
Y In Au
4 3 1
direct
0.000 0.000 0.111 Y
0.000 0.000 0.370 Y
0.000 0.000 0.630 Y
0.000 0.000 0.889 Y
0.500 0.500 0.241 In
0.500 0.500 0.500 In
0.500 0.500 0.759 In
0.500 0.500 0.000 Au
```